Material: HfV2TeF
Method: DFT, GGA+U
State: relaxed Values from VASP.

```
&SYSTEM
  ibrav = 0, nat = 5, ntyp = 4
/
ATOMIC_SPECIES
F 19.00 F.upf
Te 127.60 Te.upf
Hf 178.49 Hf.upf
V 50.94 V.upf
ATOMIC_POSITIONS angstrom
F 0.000 0.000 0.000
Te 2.200 2.397 2.200
Hf 0.000 2.397 0.000
V 0.000 0.000 2.200
V 2.200 0.000 0.000
CELL_PARAMETERS angstrom
4.400 0.000 0.000
0.000 4.793 0.000
0.000 0.000 4.400
```

For the calculated total energy, the calculation gives -29.26 eV/cell.